Material: La6TbSm8
Method: DFT, GGA-PBE
State: optimized geometry

The structure in POSCAR format:
```
La6TbSm8
1.0
4.6502 2.6848 7.0870
-4.6502 2.6848 7.0870
0.0000 -5.3696 7.0870
La Tb Sm
6 1 8
Cartesian
-3.2558 -1.1250 9.6943
-0.6536 -3.3821 11.5666
-2.6022 2.2571 11.5666
2.6022 -2.2571 9.6943
0.6536 3.3821 9.6943
3.2558 1.1250 11.5666
0.0000 0.0000 10.6304
0.0000 0.0000 1.6391
-0.2203 -2.0392 7.6662
-1.6559 1.2104 7.6662
-1.8762 -0.8288 13.5947
1.8762 0.8288 7.6662
1.6559 -1.2104 13.5947
0.2203 2.0392 13.5947
0.0000 0.0000 19.6217
```

space group	R-3

***

Material: Cu2Ir
Method: DFT, GGA-PBE
State: optimized geometry

The structure in POSCAR format:
```
Cu2Ir
1.0
5.8219 0.0000 0.0000
0.0000 5.8219 0.0000
0.0000 0.0000 5.8219
Cu Ir
8 4
Cartesian
0.7158 0.7158 0.7158
0.7158 2.1951 3.6267
2.1951 3.6267 0.7158
2.1951 5.1061 3.6267
3.6267 0.7158 2.1951
3.6267 2.1951 5.1061
5.1061 3.6267 2.1951
5.1061 5.1061 5.1061
0.0000 0.0000 2.9109
0.0000 2.9109 0.0000
2.9109 0.0000 0.0000
2.9109 2.9109 2.9109
```

space group	Pa-3
energy relative to the lowest polymorph listed for this composition	2.91	eV per formula unit

***

Material: Ni2Pd2Ru
Method: DFT, GGA-PBE
State: optimized geometry

The structure in POSCAR format:
```
Ni2Pd2Ru
1.0
7.0328 0.0000 0.0000
0.0000 7.0328 0.0000
0.0000 0.0000 2.8052
Ni Pd Ru
4 4 2
Cartesian
0.8512 2.6652 0.0000
2.6652 6.1816 0.0000
4.3676 0.8512 0.0000
6.1816 4.3676 0.0000
1.2372 4.7536 1.4026
2.2792 1.2372 1.4026
4.7536 5.7956 1.4026
5.7956 2.2792 1.4026
0.0000 0.0000 0.0000
3.5164 3.5164 0.0000
```

space group	P4/mbm
energy relative to the lowest polymorph listed for this composition	0.00	eV per formula unit

***

Material: Li2NiCl
Method: DFT, GGA-PBE
State: optimized geometry

The structure in POSCAR format:
```
Li2NiCl
1.0
2.7207 -3.3559 0.0000
2.7207 3.3559 0.0000
0.0000 0.0000 3.0917
Li Ni Cl
2 1 1
Cartesian
1.3603 1.6779 0.0000
1.3603 -1.6779 0.0000
0.0000 0.0000 1.5459
2.7207 0.0000 1.5459
```

E_form (uncorrected)	-0.313	eV/atom
space group	Cmmm
energy relative to the lowest polymorph listed for this composition	0.75	eV per formula unit

***

Material: SiP2RuN
Method: DFT, GGA-PBE
State: optimized geometry

The structure in POSCAR format:
```
SiP2RuN
1.0
4.4597 0.0000 0.0000
1.2585 4.2876 0.0000
1.1859 1.9002 4.0360
Si P Ru N
1 2 1 1
Cartesian
0.0000 0.0000 0.0000
1.6857 1.4798 0.6224
4.0443 5.4366 2.5851
4.1468 3.0550 2.7094
5.3585 2.9312 1.0116
```

E_form (uncorrected)	-0.110	eV/atom
space group	P1
energy relative to the lowest polymorph listed for this composition	1.08	eV per formula unit

***

Material: K4Rb2SnAs2
Method: DFT, GGA-PBE
State: optimized geometry

The structure in POSCAR format:
```
K4Rb2SnAs2
1.0
-2.7171 4.6202 7.3447
2.7171 -4.6202 7.3447
2.7171 4.6202 -7.3447
K Rb Sn As
4 2 1 2
Cartesian
2.7171 -2.7833 5.3004
0.0000 1.8368 2.0442
2.7171 2.7833 5.3004
0.0000 7.4035 2.0442
0.0000 0.0000 5.3127
0.0000 0.0000 9.3767
2.7171 0.0000 0.0000
2.7171 0.0000 3.0238
0.0000 4.6202 4.3209
```

space group	Immm

***

Material: GaHg2BS
Method: DFT, GGA-PBE
State: optimized geometry

The structure in POSCAR format:
```
GaHg2BS
1.0
6.3334 0.0000 0.0000
0.0000 6.3334 0.0000
0.0000 0.0000 3.2855
Ga Hg B S
1 2 1 1
Cartesian
0.0000 0.0000 0.0000
0.0000 3.1667 1.6427
3.1667 0.0000 1.6427
3.1667 3.1667 0.0000
3.1667 3.1667 1.6427
```

E_form (uncorrected)	0.718	eV/atom
space group	P4/mmm

***

Number 1: mass density 6.9 Mg/m³, VASP energy -4.691 eV per atom, N(E_F) 24.3 states/eV per cell. Number 2: mass density 10.7 Mg/m³, VASP energy -4.661 eV per atom, N(E_F) 18.1 states/eV per cell. Number 3: mass density 10.3 Mg/m³, VASP energy -5.924 eV per atom, N(E_F) 18.5 states/eV per cell. Number 4: mass density 3.2 Mg/m³, VASP energy -3.177 eV per atom, N(E_F) 2.0 states/eV per cell. Number 5: mass density 4.4 Mg/m³, VASP energy -6.879 eV per atom, N(E_F) 3.4 states/eV per cell. Number 6: mass density 2.7 Mg/m³, VASP energy -2.363 eV per atom, N(E_F) 6.8 states/eV per cell. Number 7: mass density 6.5 Mg/m³, VASP energy -2.169 eV per atom, N(E_F) 2.2 states/eV per cell.